DFT (GGA+U) results for a geometry-optimized Mn11Cu7O24 structure.

Values from the calculation:
Fermi-level density of states	17.13	states/eV/f.u.
calculated volume	458.6	Å³/cell
uncorrected energy	-281.047	eV for the cell shown

a b c (Å): 6.057 8.333 10.316
angles (deg): 113.87 104.33 89.78
Sites, in units of the cell vectors:
Mn 0.756 0.377 0.502
O 0.073 0.475 0.674
O 0.095 0.943 0.660
O 0.751 0.131 0.486
O 0.266 0.137 0.998
O 0.758 0.611 0.993
O 0.777 0.622 0.518
Mn 0.411 0.041 0.832
Cu 0.341 0.336 0.668
Mn 0.746 0.376 0.000
O 0.417 0.287 0.848
O 0.409 0.808 0.341
O 0.549 0.952 0.664
Cu 0.493 0.753 0.996
O 0.916 0.774 0.821
Mn 0.922 0.044 0.335
Cu 0.675 0.667 0.338
O 0.090 0.954 0.182
O 0.587 0.976 0.179
Mn 0.084 0.709 0.167
O 0.390 0.797 0.816
Mn 0.084 0.709 0.667
Mn 0.584 0.209 0.167
Cu 0.168 0.420 0.334
O 0.256 0.108 0.489
O 0.730 0.139 0.003
O 0.251 0.645 0.513
O 0.438 0.280 0.331
Mn 0.911 0.543 0.833
Mn 0.256 0.876 0.501
Cu 0.827 0.082 0.666
Mn 0.422 0.042 0.334
Cu 0.584 0.709 0.667
Cu 0.999 0.999 0.999
Mn 0.246 0.375 0.999
O 0.912 0.311 0.845
O 0.581 0.443 0.155
O 0.214 0.612 0.994
O 0.901 0.282 0.336
O 0.078 0.465 0.152
O 0.618 0.467 0.670
O 0.954 0.807 0.340